Computed, not measured: crystalline Pm8Er3Mg at its relaxed geometry at the GGA-PBE level of DFT.

Cell: 8.394 8.394 8.394 Å, 117.91 117.91 93.66°
Positions (direct):
Pm1 0.126 0.126 0.745
Pm2 0.240 0.735 0.000
Pm3 0.265 0.265 0.505
Pm4 0.380 0.380 0.255
Pm5 0.620 0.874 0.000
Pm6 0.735 0.240 0.000
Pm7 0.760 0.760 0.495
Pm8 0.874 0.620 0.000
Er1 0.250 0.750 0.500
Er2 0.500 0.500 0.000
Er3 0.750 0.250 0.500
Mg1 0.000 0.000 0.000

Output
Total magnetic moment ... 0.0010 μB/atom
Energy of formation ... 549 meV per atom
Mass density ... 6.5 g/cm³
SG ... I-42m, No. 121
D(E_F) ... 17.68 states/eV/cell
Volume ... 35.9 Å³/atom